Compound: K2LiCeS4
Source: the Alexandria database
Functional: PBE
Structure: optimized geometry

Geometry as POSCAR:
```
K2LiCeS4
1.0
-3.984 4.323 6.198
3.984 -4.323 6.198
3.984 4.323 -6.198
K Li Ce S
4 2 2 8
Direct
0.000 0.000 0.000 K
0.500 0.000 0.000 K
0.500 0.000 0.500 K
0.500 0.500 0.500 K
0.000 0.500 0.500 Li
0.500 0.500 0.000 Li
0.000 0.000 0.500 Ce
0.000 0.500 0.000 Ce
0.205 0.242 0.964 S
0.222 0.758 0.464 S
0.224 0.294 0.571 S
0.224 0.653 0.929 S
0.776 0.347 0.071 S
0.776 0.706 0.429 S
0.778 0.242 0.536 S
0.795 0.758 0.036 S
```

Summary:
- uncorrected formation energy (eV/atom) = -1.29
- crystal system = orthorhombic
- N(E_F) (states/eV/cell) = 0.297